No. 1
An optimized crystal structure of Pm8CoNi3I4. Source: Alexandria, functional PBE.

a = 9.3187 Å, b = 9.3187 Å, c = 9.3187 Å
α = 52.14°, β = 52.14°, γ = 52.14°
Closest atoms and distances in Å follow each position.
Fractional positions:
1 Pm 0.2271 0.2271 0.2271  3 Ni 2.78
2 Pm 0.2332 0.7245 0.7245  1 Co 2.74, 2 Ni 2.80
3 Pm 0.2755 0.2755 0.7668  1 Co 2.74, 2 Ni 2.80
4 Pm 0.2755 0.7668 0.2755  1 Co 2.74, 2 Ni 2.80
5 Pm 0.7245 0.2332 0.7245  1 Co 2.74, 2 Ni 2.80
6 Pm 0.7245 0.7245 0.2332  1 Co 2.74, 2 Ni 2.80
7 Pm 0.7668 0.2755 0.2755  1 Co 2.74, 2 Ni 2.80
8 Pm 0.7729 0.7729 0.7729  3 Ni 2.78
9 Co 0.5000 0.5000 0.5000  6 Pm 2.74
10 Ni 0.0000 0.0000 0.5000  6 Pm 2.78-2.80
11 Ni 0.0000 0.5000 0.0000  6 Pm 2.78-2.80
12 Ni 0.5000 0.0000 0.0000  6 Pm 2.78-2.80
13 I 0.0000 0.0000 0.0000  6 Pm 3.51
14 I 0.0000 0.5000 0.5000  6 Pm 3.47-3.48
15 I 0.5000 0.0000 0.5000  6 Pm 3.47-3.48
16 I 0.5000 0.5000 0.0000  6 Pm 3.47-3.48

The space group is R-3m. For the density of states at the Fermi level, the calculation gives 11.8 states/eV/cell. The total energy is -79.1 eV/cell. Its energy relative to the elements, uncorrected is -0.653 eV/atom. Its crystal system is trigonal. For the volume, the calculation gives 29.2 Å³/atom. Its total magnetization is 0.0 μB per cell.

---

No. 2
An optimized crystal structure of Pr8Co3NiI4. Source: Alexandria, functional PBE.

a = 8.2238 Å, b = 8.2238 Å, c = 9.4456 Å
α = 115.75°, β = 115.75°, γ = 60.13°
Closest atoms and distances in Å follow each position.
Fractional positions:
1 Pr 0.2214 0.7300 0.6825  2 Co 2.78-2.79, 1 Ni 2.84
2 Pr 0.2275 0.2275 0.6837  3 Co 2.80-2.81
3 Pr 0.2701 0.2701 0.3177  2 Co 2.79, 1 Ni 2.83
4 Pr 0.2700 0.7786 0.3175  2 Co 2.78-2.79, 1 Ni 2.84
5 Pr 0.7300 0.2214 0.6825  2 Co 2.78-2.79, 1 Ni 2.84
6 Pr 0.7299 0.7299 0.6823  2 Co 2.79, 1 Ni 2.83
7 Pr 0.7725 0.7725 0.3163  3 Co 2.80-2.81
8 Pr 0.7786 0.2700 0.3175  2 Co 2.78-2.79, 1 Ni 2.84
9 Co 0.0000 0.0000 0.5000  6 Pr 2.79-2.80
10 Co 0.0000 0.5000 0.5000  6 Pr 2.78-2.81
11 Co 0.5000 0.0000 0.5000  6 Pr 2.78-2.81
12 Ni 0.5000 0.5000 0.5000  6 Pr 2.83-2.84
13 I 0.0000 0.0000 0.0000  6 Pr 3.49
14 I 0.0000 0.5000 0.0000  6 Pr 3.51-3.53
15 I 0.5000 0.0000 0.0000  6 Pr 3.51-3.53
16 I 0.5000 0.5000 0.0000  6 Pr 3.51-3.53

The space group is C2/m. For the density of states at the Fermi level, the calculation gives 6.6 states/eV/cell. The total energy is -81.1 eV/cell. Its energy relative to the elements, uncorrected is -0.599 eV/atom. Its crystal system is monoclinic. For the volume, the calculation gives 29.9 Å³/atom. Its total magnetization is 0.0 μB per cell.

---

No. 3
An optimized crystal structure of Pr6CoNi2I3. Source: Alexandria, functional PBE.

a = 7.1822 Å, b = 7.1822 Å, c = 8.4958 Å
α = 98.09°, β = 98.09°, γ = 120.03°
Closest atoms and distances in Å follow each position.
Fractional positions:
1 Pr 0.0611 0.3873 0.1831  1 Co 2.78, 2 Ni 2.84
2 Pr 0.2648 0.2648 0.8164  1 Co 2.78, 2 Ni 2.85
3 Pr 0.3873 0.0611 0.1831  1 Co 2.78, 2 Ni 2.84
4 Pr 0.6127 0.9389 0.8169  1 Co 2.78, 2 Ni 2.84
5 Pr 0.7352 0.7352 0.1836  1 Co 2.78, 2 Ni 2.85
6 Pr 0.9389 0.6127 0.8169  1 Co 2.78, 2 Ni 2.84
7 Co 0.0000 0.0000 0.0000  6 Pr 2.78
8 Ni 0.3334 0.6666 0.0000  6 Pr 2.84-2.85
9 Ni 0.6666 0.3334 0.0000  6 Pr 2.84-2.85
10 I 0.1669 0.8331 0.5000  6 Pr 3.50-3.56
11 I 0.5000 0.5000 0.5000  6 Pr 3.50-3.55
12 I 0.8331 0.1669 0.5000  6 Pr 3.50-3.56

The space group is C2/m. For the density of states at the Fermi level, the calculation gives 7.9 states/eV/cell. The total energy is -59.7 eV/cell. Its energy relative to the elements, uncorrected is -0.639 eV/atom. Its crystal system is monoclinic. For the volume, the calculation gives 30.3 Å³/atom. Its total magnetization is 0.0 μB per cell.

---

No. 4
An optimized crystal structure of Pr8CoNi3I4. Source: Alexandria, functional PBE.

a = 8.3111 Å, b = 8.3111 Å, c = 9.4593 Å
α = 116.12°, β = 116.12°, γ = 59.95°
Closest atoms and distances in Å follow each position.
Fractional positions:
1 Pr 0.2251 0.2251 0.6830  1 Co 2.79, 2 Ni 2.84
2 Pr 0.2250 0.7336 0.6830  1 Co 2.79, 2 Ni 2.84
3 Pr 0.2664 0.7750 0.3170  1 Co 2.79, 2 Ni 2.84
4 Pr 0.2722 0.2722 0.3174  3 Ni 2.82-2.83
5 Pr 0.7278 0.7278 0.6826  3 Ni 2.82-2.83
6 Pr 0.7336 0.2250 0.6830  1 Co 2.79, 2 Ni 2.84
7 Pr 0.7750 0.2664 0.3170  1 Co 2.79, 2 Ni 2.84
8 Pr 0.7749 0.7749 0.3170  1 Co 2.79, 2 Ni 2.84
9 Co 0.0000 0.0000 0.5000  6 Pr 2.79
10 Ni 0.0000 0.5000 0.5000  6 Pr 2.82-2.84
11 Ni 0.5000 0.0000 0.5000  6 Pr 2.82-2.84
12 Ni 0.5000 0.5000 0.5000  6 Pr 2.83-2.84
13 I 0.0000 0.0000 0.0000  6 Pr 3.51-3.52
14 I 0.0000 0.5000 0.0000  6 Pr 3.51-3.53
15 I 0.5000 0.0000 0.0000  6 Pr 3.51-3.53
16 I 0.5000 0.5000 0.0000  6 Pr 3.55

The space group is C2/m. For the density of states at the Fermi level, the calculation gives 12.2 states/eV/cell. The total energy is -79.2 eV/cell. Its energy relative to the elements, uncorrected is -0.643 eV/atom. Its crystal system is monoclinic. For the volume, the calculation gives 30.4 Å³/atom. Its total magnetization is 0.0 μB per cell.

---

No. 5
An optimized crystal structure of Rb2CoNiI6. Source: Alexandria, functional PBE.

a = 7.8867 Å, b = 7.8867 Å, c = 7.8867 Å
α = 60.00°, β = 60.00°, γ = 60.00°
Closest atoms and distances in Å follow each position.
Fractional positions:
1 Rb 0.2500 0.2500 0.2500  12 I 3.94
2 Rb 0.7500 0.7500 0.7500  12 I 3.94
3 Co 0.0000 0.0000 0.0000  6 I 2.80
4 Ni 0.5000 0.5000 0.5000  6 I 2.78
5 I 0.2510 0.2510 0.7490  1 Ni 2.78, 1 Co 2.80
6 I 0.2510 0.7490 0.2510  1 Ni 2.78, 1 Co 2.80
7 I 0.2510 0.7490 0.7490  1 Ni 2.78, 1 Co 2.80
8 I 0.7490 0.2510 0.2510  1 Ni 2.78, 1 Co 2.80
9 I 0.7490 0.2510 0.7490  1 Ni 2.78, 1 Co 2.80
10 I 0.7490 0.7490 0.2510  1 Ni 2.78, 1 Co 2.80

The space group is Fm-3m. For the density of states at the Fermi level, the calculation gives 17.0 states/eV/cell. The total energy is -29.4 eV/cell. Its energy relative to the elements, uncorrected is -0.525 eV/atom. Its crystal system is cubic. For the volume, the calculation gives 34.7 Å³/atom. Its total magnetization is 1.1 μB per cell.

---

No. 6
An optimized crystal structure of CoNiRuI2. Source: Alexandria, functional PBE.

a = 5.0750 Å, b = 5.0750 Å, c = 4.4293 Å
α = 90.00°, β = 90.00°, γ = 90.00°
Closest atoms and distances in Å follow each position.
Fractional positions:
1 Co 0.0000 0.0000 0.0000  2 Ru 2.21
2 Ni 0.5000 0.5000 0.5000  8 I 3.37, 4 Ru 3.59
3 Ru 0.0000 0.0000 0.5000  2 Co 2.21
4 I 0.0000 0.5000 0.0000  2 Co 2.54
5 I 0.5000 0.0000 0.0000  2 Co 2.54

The space group is P4/mmm. For the density of states at the Fermi level, the calculation gives 9.7 states/eV/cell. The total energy is -18.6 eV/cell. Its energy relative to the elements, uncorrected is 1.324 eV/atom. Its crystal system is tetragonal. For the volume, the calculation gives 22.8 Å³/atom. Its total magnetization is 1.4 μB per cell.

---

No. 7
An optimized crystal structure of CoNiSbI2. Source: Alexandria, functional PBE.

a = 5.3509 Å, b = 5.3509 Å, c = 4.8472 Å
α = 90.00°, β = 90.00°, γ = 90.00°
Closest atoms and distances in Å follow each position.
Fractional positions:
1 Co 0.0000 0.0000 0.0000  8 I 3.61, 4 Sb 3.78
2 Ni 0.5000 0.5000 0.5000  2 Sb 2.42, 4 I 2.68
3 Sb 0.5000 0.5000 0.0000  2 Ni 2.42
4 I 0.0000 0.5000 0.5000  2 Ni 2.68
5 I 0.5000 0.0000 0.5000  2 Ni 2.68

The space group is P4/mmm. For the density of states at the Fermi level, the calculation gives 7.8 states/eV/cell. The total energy is -15.7 eV/cell. Its energy relative to the elements, uncorrected is 0.877 eV/atom. Its crystal system is tetragonal. For the volume, the calculation gives 27.8 Å³/atom. Its total magnetization is 2.1 μB per cell.

---

No. 8
An optimized crystal structure of CoNiSbI2. Source: Alexandria, functional PBE.

a = 5.3364 Å, b = 5.3364 Å, c = 4.7386 Å
α = 90.00°, β = 90.00°, γ = 90.00°
Closest atoms and distances in Å follow each position.
Fractional positions:
1 Co 0.0000 0.0000 0.0000  2 Sb 2.37
2 Ni 0.5000 0.5000 0.5000  8 I 3.57, 4 Sb 3.77
3 Sb 0.0000 0.0000 0.5000  2 Co 2.37
4 I 0.0000 0.5000 0.0000  2 Co 2.67
5 I 0.5000 0.0000 0.0000  2 Co 2.67

The space group is P4/mmm. For the density of states at the Fermi level, the calculation gives 9.9 states/eV/cell. The total energy is -15.9 eV/cell. Its energy relative to the elements, uncorrected is 0.847 eV/atom. Its crystal system is tetragonal. For the volume, the calculation gives 27.0 Å³/atom. Its total magnetization is 1.0 μB per cell.